LaGdTh: optimized geometry, PBE.

```
LaGdTh
1.0
-1.812 1.812 7.733
1.812 -1.812 7.733
1.812 1.812 -7.733
La Gd Th
1 1 1
direct
0.000 0.000 0.000
0.312 0.312 0.000
0.659 0.659 0.000
```

VASP energy: -8.790 eV per atom
crystal system: tetragonal